(1)
CaZn2As | meta-GGA SCAN | single point on PBEsol structure

Cell lengths 3.6418, 3.6418, 5.9185 Å; angles 90.00, 90.00, 90.00 degrees
With the nearest neighbours (Å) after each atom.
Atoms (fractional coordinates):
Ca (0.0000, 0.0000, 0.0000)  2 As 2.96, 8 Zn 3.10
Zn (0.5000, 0.5000, 0.2914)  1 Zn 2.47
Zn (0.5000, 0.5000, 0.7086)  1 Zn 2.47
As (0.0000, 0.0000, 0.5000)  8 Zn 2.86, 2 Ca 2.96

Calculated values
energy: -14.403 eV per atom
formation energy: -182 meV/atom
volume: 78.5 Å³ per cell
space-group type: P4/mmm (123)



(2)
Ca2ZnAs2 | meta-GGA SCAN | single point on PBEsol structure

Cell lengths 7.4253, 7.4253, 7.4253 Å; angles 136.00, 136.00, 63.97 degrees
With the nearest neighbours (Å) after each atom.
Atoms (fractional coordinates):
Ca (0.2500, 0.7500, 0.5000)  4 As 2.91
Ca (0.7500, 0.2500, 0.5000)  4 As 2.91
Zn (0.0000, 0.0000, 0.0000)  2 As 2.28
As (0.1812, 0.1812, 0.0000)  1 Zn 2.28
As (0.8188, 0.8188, 0.0000)  1 Zn 2.28

Calculated values
energy: -15.456 eV per atom
formation energy: -812 meV/atom
volume: 194.9 Å³ per cell
space-group type: I4/mmm (139)



(3)
CaZnAs4 | meta-GGA SCAN | single point on PBEsol structure

Cell lengths 5.5833, 5.5833, 5.5833 Å; angles 60.00, 60.00, 60.00 degrees
With the nearest neighbours (Å) after each atom.
Atoms (fractional coordinates):
Ca (0.0000, 0.0000, 0.0000)  12 As 3.28, 4 Zn 3.42
Zn (0.2500, 0.2500, 0.2500)  12 As 3.27, 4 Ca 3.42
As (0.1324, 0.6225, 0.6225)  6 As 2.74-2.85
As (0.6225, 0.1324, 0.6225)  6 As 2.74-2.85
As (0.6225, 0.6225, 0.1324)  6 As 2.74-2.85
As (0.6225, 0.6225, 0.6225)  6 As 2.74-2.85

Calculated values
energy: -17.397 eV per atom
formation energy: -73 meV/atom
volume: 123.1 Å³ per cell
space-group type: F-43m (216)



(4)
CaZnAs | meta-GGA SCAN | single point on PBEsol structure

Cell lengths 5.4079, 5.4079, 6.4475 Å; angles 99.53, 99.53, 45.60 degrees
With the nearest neighbours (Å) after each atom.
Atoms (fractional coordinates):
Ca (0.1204, 0.1204, 0.2815)  4 As 2.91-2.96, 5 Zn 3.06-3.24
Ca (0.8796, 0.8796, 0.7185)  4 As 2.91-2.96, 5 Zn 3.06-3.24
Zn (0.3886, 0.3886, 0.0667)  1 Zn 2.52, 3 As 2.55-2.69
Zn (0.6114, 0.6114, 0.9333)  1 Zn 2.52, 3 As 2.55-2.69
As (0.1744, 0.1744, 0.7475)  3 Zn 2.55-2.69
As (0.8256, 0.8256, 0.2525)  3 Zn 2.55-2.69

Calculated values
energy: -15.312 eV per atom
formation energy: -855 meV/atom
volume: 132.5 Å³ per cell
space-group type: C2/m (12)



(5)
Ca2ZrAs | meta-GGA SCAN | single point on PBEsol structure

Cell lengths 3.2952, 3.2952, 9.3343 Å; angles 90.00, 90.00, 90.41 degrees
With the nearest neighbours (Å) after each atom.
Atoms (fractional coordinates):
Ca (0.0000, 0.0000, 0.2067)  4 As 3.02-3.03, 4 Ca 3.30
Ca (0.0000, 0.0000, 0.7933)  4 As 3.02-3.03, 4 Ca 3.30
Zr (0.5000, 0.5000, 0.5000)  4 Zr 3.30, 8 Ca 3.59-3.60
As (0.5000, 0.5000, 0.0000)  8 Ca 3.02-3.03, 4 As 3.30

Calculated values
energy: -17.802 eV per atom
formation energy: -248 meV/atom
volume: 101.4 Å³ per cell
space-group type: Cmmm (65)



(6)
CaZr2As | meta-GGA SCAN | single point on PBEsol structure

Cell lengths 5.6491, 5.6491, 6.0155 Å; angles 121.69, 121.69, 35.97 degrees
With the nearest neighbours (Å) after each atom.
Atoms (fractional coordinates):
Ca (0.0000, 0.0000, 0.0000)  3 As 2.97, 1 Zr 3.17
Zr (0.1794, 0.1794, 0.6318)  2 As 2.64
Zr (0.3885, 0.3885, 0.4028)  2 As 2.71
As (0.7235, 0.7235, 0.9982)  4 Zr 2.64-2.71

Calculated values
energy: -23.164 eV per atom
formation energy: -352 meV/atom
volume: 94.0 Å³ per cell
space-group type: Cm (8)



(7)
CaZr2As | meta-GGA SCAN | single point on PBEsol structure

Cell lengths 3.4986, 3.4986, 7.6756 Å; angles 90.00, 90.00, 90.00 degrees
With the nearest neighbours (Å) after each atom.
Atoms (fractional coordinates):
Ca (0.0000, 0.0000, 0.0000)  4 As 3.20, 1 Zr 3.25, 4 Ca 3.50
Zr (0.0000, 0.0000, 0.5769)  4 As 2.76, 4 Zr 3.07
Zr (0.5000, 0.5000, 0.3399)  1 As 3.04, 4 Zr 3.07
As (0.5000, 0.5000, 0.7355)  5 Zr 2.76-3.04

Calculated values
energy: -23.317 eV per atom
formation energy: -504 meV/atom
volume: 94.0 Å³ per cell
space-group type: P4mm (99)



(8)
CaZr2As | meta-GGA SCAN | single point on PBEsol structure

Cell lengths 6.0939, 6.0939, 3.1271 Å; angles 104.51, 104.51, 119.94 degrees
With the nearest neighbours (Å) after each atom.
Atoms (fractional coordinates):
Ca (0.0000, 0.0000, 0.0000)  4 As 3.05-3.09, 4 Zr 3.06, 2 Ca 3.13
Zr (0.0000, 0.5000, 0.5000)  6 Zr 3.05-3.13, 2 As 3.06, 2 Ca 3.06
Zr (0.5000, 0.0000, 0.5000)  6 Zr 3.05-3.13, 2 As 3.06, 2 Ca 3.06
As (0.5000, 0.5000, 0.0000)  4 Ca 3.05-3.09, 4 Zr 3.06, 2 As 3.13

Calculated values
energy: -22.893 eV per atom
formation energy: -80 meV/atom
volume: 87.1 Å³ per cell
space-group type: C2/m (12)



(9)
Cd3As5 | meta-GGA SCAN | single point on PBEsol structure

Cell lengths 5.6620, 5.6620, 5.0849 Å; angles 90.00, 90.00, 90.80 degrees
With the nearest neighbours (Å) after each atom.
Atoms (fractional coordinates):
Cd (0.0000, 0.0000, 0.0000)  4 As 2.83, 4 Cd 2.94
Cd (0.1824, 0.8176, 0.5000)  4 As 2.86-3.08, 3 Cd 2.94
Cd (0.8176, 0.1824, 0.5000)  4 As 2.86-3.08, 3 Cd 2.94
As (0.0000, 0.5000, 0.0000)  2 As 2.83, 2 Cd 2.83
As (0.3408, 0.3408, 0.5000)  1 As 2.53
As (0.5000, 0.0000, 0.0000)  2 As 2.83, 2 Cd 2.83
As (0.5000, 0.5000, 0.0000)  8 As 2.83-2.84
As (0.6592, 0.6592, 0.5000)  1 As 2.53

Calculated values
energy: -23.746 eV per atom
formation energy: 279 meV/atom
volume: 163.0 Å³ per cell
space-group type: Cmmm (65)



(10)
Cd2As | meta-GGA SCAN | single point on PBEsol structure

Cell lengths 6.7113, 6.7113, 6.7113 Å; angles 153.17, 153.17, 38.30 degrees
With the nearest neighbours (Å) after each atom.
Atoms (fractional coordinates):
Cd (0.1650, 0.1650, 0.0000)  4 As 3.04, 8 Cd 3.08-3.11
Cd (0.8350, 0.8350, 0.0000)  4 As 3.04, 8 Cd 3.08-3.11
As (0.5000, 0.5000, 0.0000)  8 Cd 3.04, 4 As 3.11

Calculated values
energy: -26.822 eV per atom
formation energy: 184 meV/atom
volume: 61.5 Å³ per cell
space-group type: I4/mmm (139)
energy above the most stable polymorph in this dataset: 0.378 eV per formula unit



(11)
Cd2As | meta-GGA SCAN | single point on PBEsol structure

Cell lengths 4.2288, 4.2288, 3.8578 Å; angles 90.00, 90.00, 90.00 degrees
With the nearest neighbours (Å) after each atom.
Atoms (fractional coordinates):
Cd (0.0000, 0.5000, 0.0000)  4 As 2.86, 4 Cd 2.99
Cd (0.5000, 0.0000, 0.0000)  4 As 2.86, 4 Cd 2.99
As (0.0000, 0.0000, 0.5000)  8 Cd 2.86

Calculated values
energy: -26.933 eV per atom
formation energy: 74 meV/atom
volume: 69.0 Å³ per cell
space-group type: P4/mmm (123)
energy above the most stable polymorph in this dataset: 0.046 eV per formula unit



(12)
Cd2As | meta-GGA SCAN | single point on PBEsol structure

Cell lengths 5.6408, 5.6408, 5.6408 Å; angles 117.15, 117.15, 95.01 degrees
With the nearest neighbours (Å) after each atom.
Atoms (fractional coordinates):
Cd (0.1824, 0.6824, 0.8648)  4 As 2.88, 5 Cd 3.03-3.05
Cd (0.3176, 0.1824, 0.5000)  4 As 2.88, 5 Cd 3.03-3.05
Cd (0.6824, 0.8176, 0.5000)  4 As 2.88, 5 Cd 3.03-3.05
Cd (0.8176, 0.3176, 0.1352)  4 As 2.88, 5 Cd 3.03-3.05
As (0.2500, 0.2500, 0.0000)  8 Cd 2.88
As (0.7500, 0.7500, 0.0000)  8 Cd 2.88

Calculated values
energy: -26.948 eV per atom
formation energy: 59 meV/atom
volume: 131.8 Å³ per cell
space-group type: I4/mcm (140)
energy above the most stable polymorph in this dataset: 0.000 eV per formula unit



(13)
Cd2As | meta-GGA SCAN | single point on PBEsol structure

Cell lengths 12.9691, 12.9691, 12.9691 Å; angles 165.97, 165.97, 19.89 degrees
With the nearest neighbours (Å) after each atom.
Atoms (fractional coordinates):
Cd (0.2971, 0.5471, 0.7500)  6 Cd 2.88-3.17, 4 As 3.00
Cd (0.4529, 0.7029, 0.7500)  6 Cd 2.88-3.17, 4 As 3.00
Cd (0.5471, 0.2971, 0.2500)  6 Cd 2.88-3.17, 4 As 3.00
Cd (0.7029, 0.4529, 0.2500)  6 Cd 2.88-3.17, 4 As 3.00
As (0.1250, 0.8750, 0.2500)  8 Cd 3.00, 4 As 3.17
As (0.8750, 0.1250, 0.7500)  8 Cd 3.00, 4 As 3.17

Calculated values
energy: -26.848 eV per atom
formation energy: 158 meV/atom
volume: 128.2 Å³ per cell
space-group type: I4_1/amd (141)
energy above the most stable polymorph in this dataset: 0.300 eV per formula unit